KSn5Au4 after structural relaxation, computed with PBE-GGA.

Summary:
SG   C2/m, No. 12
E_tot   -3.625 eV/atom

Geometry as extended XYZ:
```
10
Lattice="4.441 0.016 -1.421 -0.658 7.735 -1.975 0.350 -1.869 8.711" Properties=species:S:1:pos:R:3 pbc="T T T"
K 2.220 0.008 -0.710
Sn 0.335 6.150 1.106
Sn 0.603 3.021 1.909
Sn 3.530 2.861 3.406
Sn 1.891 3.875 -1.698
Sn 3.797 -0.268 4.208
Au 2.856 4.743 1.318
Au -0.194 2.293 -0.583
Au 1.277 1.140 3.997
Au 4.326 3.589 5.898
```

CdCu2Re after structural relaxation, computed with PBE-GGA.

Summary:
SG   C2/m, No. 12
E_tot   -4.950 eV/atom

Geometry as extended XYZ:
```
4
Lattice="-1.431 4.277 -1.104 -2.886 2.600 -2.543 -3.841 0.318 3.514" Properties=species:S:1:pos:R:3 pbc="T T T"
Cd -2.039 1.799 -0.033
Cu -3.715 0.337 3.365
Cu -4.204 3.579 0.082
Re -6.118 5.396 -0.100
```

Calculated density of states at the Fermi level in order - 2.31; 3.65 states/eV/f.u.